Material: NdYGa2
Method: DFT, GGA-PBE
State: relaxed

a b c (Å): 4.4263 4.1159 5.9961
angles (deg): 90.00 111.63 90.00
Last column: nearest neighbours and their distance in Å.
Space group Pm (No. 6)
One atom of each set of equivalent atoms:
Nd  0.0000  0.0000  0.0000 (multiplicity 1)  7 Ga 3.12-3.29
Y  0.2774  0.5000  0.5574 (multiplicity 1)  7 Ga 3.10-3.24
Ga  0.5698  0.5000  0.1391 (multiplicity 1)  2 Ga 2.64
Ga  0.7163  0.0000  0.4356 (multiplicity 1)  2 Ga 2.64

Results
- Formation enthalpy at 0 K: -60.3 kJ/mol of atoms
- M_tot: 0.00 μB/f.u.
- Theoretical density: 6.09 g/cm3